This record from Alexandria via LeMat-Bulk describes a geometry-optimized Li4Fe3SbO8 structure. The functional is GGA+U.

Structure (POSCAR):
```
Li4Fe3SbO8
1.0
6.032 0.031 -0.043
2.992 5.238 -0.043
2.915 1.702 4.978
Li Fe Sb O
4 3 1 8
Direct
0.500 0.500 0.000 Li
0.000 0.500 0.500 Li
0.000 0.000 0.000 Li
0.500 0.000 0.500 Li
0.500 0.000 0.000 Fe
0.500 0.500 0.500 Fe
0.000 0.500 0.000 Fe
0.000 0.000 0.500 Sb
0.276 0.276 0.738 O
0.751 0.243 0.271 O
0.770 0.770 0.726 O
0.724 0.724 0.262 O
0.243 0.751 0.271 O
0.249 0.757 0.729 O
0.230 0.230 0.274 O
0.757 0.249 0.729 O
```

Space group   C2/m
Magnetization   8.97 μB per cell
E_tot   -93.98 eV/cell